! La3Y2TaN6 PBE optimized geometry; values from VASP
! Size of the total moment ... 0.00 μB/atom
! Space-group type ... C2/m, No. 12
! Uncorrected formation energy ... -1.420 eV/atom
! Energy ... -8.8794 eV/atom
&SYSTEM
  ibrav = 0, nat = 12, ntyp = 4
/
ATOMIC_SPECIES
La 138.91 La.upf
Y 88.91 Y.upf
Ta 180.95 Ta.upf
N 14.01 N.upf
CELL_PARAMETERS angstrom
3.019 -5.225 0.000
3.019 5.225 0.000
-2.003 0.000 5.852
ATOMIC_POSITIONS crystal
La 0.000 0.000 0.000
La 0.333 0.667 0.000
La 0.667 0.333 0.000
Y 0.167 0.833 0.500
Y 0.833 0.167 0.500
Ta 0.500 0.500 0.500
N 0.126 0.429 0.287
N 0.269 0.269 0.719
N 0.429 0.126 0.287
N 0.571 0.874 0.713
N 0.731 0.731 0.281
N 0.874 0.571 0.713


! TlIn2HgPd PBE optimized geometry; values from VASP
! Size of the total moment ... 0.00 μB/atom
! Formation enthalpy at 0 K ... -40.2 kJ/mol of formula units
! Space-group type ... P4/mmm, No. 123
! Energy ... -2.7510 eV/atom
&SYSTEM
  ibrav = 0, nat = 5, ntyp = 4
/
ATOMIC_SPECIES
Tl 204.38 Tl.upf
In 114.82 In.upf
Hg 200.59 Hg.upf
Pd 106.42 Pd.upf
CELL_PARAMETERS angstrom
5.302 0.000 0.000
0.000 5.302 0.000
0.000 0.000 5.423
ATOMIC_POSITIONS crystal
Tl 0.000 0.000 0.000
In 0.000 0.500 0.500
In 0.500 0.000 0.500
Hg 0.500 0.500 0.000
Pd 0.000 0.000 0.500


! ScMnPd2Cl PBE optimized geometry; values from VASP
! Size of the total moment ... 0.93 μB/atom
! Space-group type ... P4/mmm, No. 123
! Uncorrected formation energy ... 0.162 eV/atom
! Energy ... -5.3845 eV/atom
&SYSTEM
  ibrav = 0, nat = 5, ntyp = 4
/
ATOMIC_SPECIES
Sc 44.96 Sc.upf
Mn 54.94 Mn.upf
Pd 106.42 Pd.upf
Cl 35.45 Cl.upf
CELL_PARAMETERS angstrom
4.924 0.000 0.000
0.000 4.924 0.000
0.000 0.000 4.709
ATOMIC_POSITIONS crystal
Sc 0.000 0.000 0.000
Mn 0.500 0.500 0.500
Pd 0.000 0.500 0.000
Pd 0.500 0.000 0.000
Cl 0.000 0.000 0.500